Computed, not measured: a relaxed structure of IrRhNF2 at the PBE level of DFT.

Summary:
E above lowest polymorph (meV per atom): 359
M_tot (μB per formula unit): 2.2
Energy (eV/atom): -4.97

extended XYZ file:
```
5
Lattice="4.3235 0.0000 0.0000 0.0000 4.3235 0.0000 0.0000 0.0000 3.6820" Properties=species:S:1:pos:R:3 pbc="T T T"
N 0.0000 0.0000 1.8410
Rh 0.0000 0.0000 0.0000
F 0.0000 2.1617 0.0000
F 2.1617 0.0000 0.0000
Ir 2.1617 2.1617 1.8410
```

=====

Computed, not measured: a relaxed structure of IrRuN2F at the PBE level of DFT.

Summary:
E above lowest polymorph (meV per atom): 85
M_tot (μB per formula unit): 0.8
Energy (eV/atom): -6.14

extended XYZ file:
```
5
Lattice="3.8717 0.0000 0.0000 0.0000 3.8717 0.0000 0.0000 0.0000 3.9944" Properties=species:S:1:pos:R:3 pbc="T T T"
F 0.0000 0.0000 1.9972
Ru 0.0000 0.0000 0.0000
Ir 1.9359 1.9359 1.9972
N 0.0000 1.9359 0.0000
N 1.9359 0.0000 0.0000
```

=====

Computed, not measured: a relaxed structure of IrRuN2F at the PBE level of DFT.

Summary:
E above lowest polymorph (meV per atom): 0
M_tot (μB per formula unit): 3.5
Energy (eV/atom): -6.22

extended XYZ file:
```
5
Lattice="3.7930 0.0000 0.0000 0.0000 3.7930 0.0000 0.0000 0.0000 4.6131" Properties=species:S:1:pos:R:3 pbc="T T T"
N 1.8965 0.0000 0.0000
N 0.0000 1.8965 0.0000
Ru 1.8965 1.8965 2.3065
F 0.0000 0.0000 2.3065
Ir 0.0000 0.0000 0.0000
```

=====

Computed, not measured: a relaxed structure of IrSN2F at the PBE level of DFT.

Summary:
E above lowest polymorph (meV per atom): 0
M_tot (μB per formula unit): 1.1
Energy (eV/atom): -5.44

extended XYZ file:
```
5
Lattice="3.7264 0.0000 0.0000 0.0000 3.7264 0.0000 0.0000 0.0000 5.1129" Properties=species:S:1:pos:R:3 pbc="T T T"
N 1.8632 0.0000 0.0000
N 0.0000 1.8632 0.0000
F 1.8632 1.8632 2.5564
Ir 0.0000 0.0000 0.0000
S 0.0000 0.0000 2.5564
```

=====

Computed, not measured: a relaxed structure of IrSN2F at the PBE level of DFT.

Summary:
E above lowest polymorph (meV per atom): 913
M_tot (μB per formula unit): 0.0
Energy (eV/atom): -4.53

extended XYZ file:
```
5
Lattice="-1.1182 0.9851 3.5306 2.0126 -2.9200 1.4522 2.8530 2.1214 0.3116" Properties=species:S:1:pos:R:3 pbc="T T T"
Ir 1.8737 0.0933 2.6472
N 1.0063 -1.4600 0.7261
N -0.5591 0.4926 1.7653
S 0.0000 0.0000 0.0000
F 1.4265 1.0607 0.1558
```

=====

Computed, not measured: a relaxed structure of IrSN2F at the PBE level of DFT.

Summary:
E above lowest polymorph (meV per atom): 1611
M_tot (μB per formula unit): 0.9
Energy (eV/atom): -3.83

extended XYZ file:
```
5
Lattice="3.8210 0.0000 0.0000 0.0000 3.8210 0.0000 0.0000 0.0000 3.9163" Properties=species:S:1:pos:R:3 pbc="T T T"
Ir 1.9105 1.9105 1.9581
N 1.9105 0.0000 0.0000
N 0.0000 1.9105 0.0000
F 0.0000 0.0000 0.0000
S 0.0000 0.0000 1.9581
```

=====

Uncorrected formation energy list, top to bottom, in kJ/mol of formula units: 332, 577, 536, 416, 856, 1193